(1)
! YHoLu6 | the Open Quantum Materials Database | PBE | optimized geometry; values from VASP
! Formation enthalpy at 0 K in meV per atom: 0
! SG: P-6m2 (187)
&SYSTEM
  ibrav = 0, nat = 8, ntyp = 3
/
ATOMIC_SPECIES
Lu 174.97 Lu.upf
Ho 164.93 Ho.upf
Y 88.91 Y.upf
CELL_PARAMETERS angstrom
-4.716 -5.265 -0.447
6.688 -1.050 -2.080
1.334 -1.628 5.111
ATOMIC_POSITIONS crystal
Lu 0.335 0.168 0.000
Ho 0.000 0.000 0.500
Lu 0.832 0.168 0.000
Lu 0.501 0.499 0.500
Lu 0.501 0.002 0.500
Lu 0.998 0.499 0.500
Lu 0.832 0.665 0.000
Y 0.333 0.667 0.000

=====

(2)
! NbTlAgO3 | the Open Quantum Materials Database | PBE | optimized geometry; values from VASP
! Total energy in eV per atom: -6.50
! SG: Pnma (62)
&SYSTEM
  ibrav = 0, nat = 24, ntyp = 4
/
ATOMIC_SPECIES
O 16.00 O.upf
Tl 204.38 Tl.upf
Ag 107.87 Ag.upf
Nb 92.91 Nb.upf
CELL_PARAMETERS angstrom
-10.788 -2.105 -1.331
-0.334 -0.231 3.074
-2.369 11.748 0.624
ATOMIC_POSITIONS crystal
O 0.185 0.000 0.106
O 0.685 0.500 0.394
Tl 0.886 0.000 0.279
Ag 0.416 0.000 0.947
Nb 0.864 0.000 0.988
Nb 0.636 0.000 0.488
O 0.244 0.500 0.406
O 0.815 0.500 0.894
Tl 0.114 0.500 0.721
Tl 0.386 0.500 0.221
O 0.454 0.000 0.423
Ag 0.584 0.500 0.053
O 0.315 0.000 0.606
O 0.744 0.000 0.094
Nb 0.364 0.500 0.512
O 0.256 0.500 0.906
O 0.954 0.500 0.077
O 0.756 0.000 0.594
Nb 0.136 0.500 0.012
Ag 0.916 0.500 0.553
Tl 0.614 0.000 0.779
O 0.046 0.000 0.923
O 0.546 0.500 0.577
Ag 0.084 0.000 0.447

=====

(3)
! Pu2NpN3 | the Open Quantum Materials Database | PBE | optimized geometry; values from VASP
! Total energy in eV per atom: -12.30
! SG: Immm (71)
&SYSTEM
  ibrav = 0, nat = 12, ntyp = 3
/
ATOMIC_SPECIES
N 14.01 N.upf
Np 237.00 Np.upf
Pu 244.00 Pu.upf
CELL_PARAMETERS angstrom
5.481 -2.451 0.000
5.481 2.451 0.000
-2.190 0.000 6.573
ATOMIC_POSITIONS crystal
N 0.501 0.499 0.750
Np 0.000 0.000 0.750
N 0.499 0.501 0.250
Pu 0.667 0.667 0.584
N 0.839 0.840 0.920
N 0.840 0.839 0.420
Pu 0.333 0.333 0.416
Pu 0.333 0.333 0.916
Pu 0.667 0.667 0.084
N 0.160 0.161 0.580
N 0.161 0.160 0.080
Np 0.000 0.000 0.250